[1]
Below is an optimized crystal structure of Er2IrPb, with properties calculated at the PBE level.

**SG**: No. 123
**E above lowest polymorph**: 194.0 meV per atom
**Energy of formation from the pure elements**: -2.029 eV/f.u.
**Calculated volume**: 92.40 Å³/cell
**Fermi-level density of states**: 1.94 states/eV/cell

```
4
Lattice="-2.727 -2.637 0.949 1.496 -2.856 -3.638 3.146 -2.174 3.001" Properties=species:S:1:pos:R:3 pbc="T T T"
Pb 0.957 -3.834 0.156
Ir -1.364 -1.318 0.474
Er 1.573 -1.087 1.500
Er 0.748 -1.428 -1.819
```

---

[2]
Below is an optimized crystal structure of Er4IrPb2, with properties calculated at the PBE level.

**SG**: No. 11
**E above lowest polymorph**: 85.9 meV per atom
**Energy of formation from the pure elements**: -3.434 eV/f.u.
**Calculated volume**: 387.76 Å³/cell
**Fermi-level density of states**: 10.95 states/eV/cell

```
14
Lattice="7.210 0.000 -0.800 0.000 6.508 0.000 -3.854 0.000 8.691" Properties=species:S:1:pos:R:3 pbc="T T T"
Pb -0.752 1.627 7.704
Er 5.721 1.627 0.672
Er 1.684 6.481 6.318
Pb 0.155 1.627 4.048
Er 1.673 3.227 1.573
Er 4.246 1.627 4.429
Ir -3.532 1.627 7.996
Ir 6.888 4.881 -0.105
Er 1.684 3.282 6.318
Er -2.365 4.881 7.219
Pb 3.201 4.881 3.843
Er 1.673 0.027 1.573
Er -0.890 4.881 3.462
Pb 4.108 4.881 0.187
```

---

- Which value of energy of formation from the pure elements does entry 2 give?
  -3.434 eV/f.u.